(1)
Below is ZnHgCl2 after structural relaxation, with properties calculated at the PBE-GGA level.

Computed properties:
Size of the total moment: 0.0 μB/f.u.
Electronic total energy: -8.0 eV per formula unit
V: 34.2 Å³ per atom
Energy relative to the elements, uncorrected: -693 meV/atom
ΔE to the lowest computed polymorph: 10.9 kJ per mole of atoms

Lattice parameters (Å, degrees): 4.4215 3.3982 9.2070 90.00 98.90 90.00
Closest atoms and distances in Å follow each position.
Space group P2/m (No. 10)
One atom of each set of equivalent atoms:
Zn (0.0000, 0.0000, 0.0000) [1 per cell]  4 Cl 2.35
Hg (0.5000, 0.0000, 0.5000) [1 per cell]  2 Hg 3.40
Cl (0.1434, 0.5000, 0.8475) [2 per cell]  2 Zn 2.35

---

(2)
Below is ZnHgCl2 after structural relaxation, with properties calculated at the PBE-GGA level.

Computed properties:
Size of the total moment: 0.0 μB/f.u.
Electronic total energy: -5.5 eV per formula unit
V: 22.5 Å³ per atom
Energy relative to the elements, uncorrected: -54 meV/atom
ΔE to the lowest computed polymorph: 72.6 kJ per mole of atoms

Lattice parameters (Å, degrees): 7.0872 7.0944 3.5745 90.00 90.00 90.00
Closest atoms and distances in Å follow each position.
Space group Cmmm (No. 65)
One atom of each set of equivalent atoms:
Zn (0.0000, 0.0000, 0.0000) [2 per cell]  8 Cl 3.08
Hg (0.0000, 0.5000, 0.0000) [2 per cell]  8 Cl 3.08
Cl (0.2500, 0.2500, 0.5000) [4 per cell]  4 Hg 3.08, 4 Zn 3.08